## U3P2S3 (PBE-GGA)

Data for a relaxed U3P2S3 crystal.

Geometry as POSCAR:
```
U3P2S3
1.0
-1.3669 1.0557 -3.1787
-1.6515 -3.5145 -0.4570
-7.6429 4.8614 6.9598
P S U
2 3 3
direct
0.2493 0.7493 0.4985
0.7507 0.2507 0.5015
0.5000 0.0000 0.0000
0.6115 0.6115 0.2229
0.3885 0.3885 0.7771
0.1534 0.1534 0.3068
0.0000 0.5000 0.0000
0.8466 0.8466 0.6932
```

Computed properties:
**Symmetry**: No. 71
**Total DFT energy (no corrections)**: -8.1731 eV per atom
**Formation energy from raw total energies**: -1040 meV per atom